1.
A relaxed structure of Tm3NpS4. Source: Alexandria via LeMat-Bulk, functional PBE.

Calculated values
- Formation energy from raw total energies: -14.49 eV/f.u.
- Volume: 162 Å³ per cell

Cell lengths 12.730, 12.730, 12.730 Å; angles 17.47, 17.47, 17.47 degrees
Sites, in units of the cell vectors:
Tm: 0.000 0.000 0.000
Tm: 0.249 0.249 0.249
Tm: 0.751 0.751 0.751
Np: 0.500 0.500 0.500
S: 0.124 0.124 0.124
S: 0.375 0.375 0.375
S: 0.625 0.625 0.625
S: 0.876 0.876 0.876

2.
A relaxed structure of Tm2NpS. Source: Alexandria via LeMat-Bulk, functional PBE.

Calculated values
- Formation energy from raw total energies: -1.55 eV/f.u.
- Volume: 107 Å³ per cell

Cell lengths 10.216, 10.216, 10.216 Å; angles 19.79, 19.79, 19.79 degrees
Sites, in units of the cell vectors:
Tm: 0.110 0.110 0.110
Tm: 0.890 0.890 0.890
Np: 0.000 0.000 0.000
S: 0.500 0.500 0.500

3.
A relaxed structure of Tm2NpS3. Source: Alexandria via LeMat-Bulk, functional PBE.

Calculated values
- Formation energy from raw total energies: -10.60 eV/f.u.
- Volume: 123 Å³ per cell

Cell lengths 8.681, 8.681, 8.681 Å; angles 154.34, 154.34, 36.61 degrees
Sites, in units of the cell vectors:
Tm: 0.163 0.163 0.000
Tm: 0.837 0.837 0.000
Np: 0.500 0.500 0.000
S: 0.000 0.000 0.000
S: 0.329 0.329 0.000
S: 0.671 0.671 0.000

4.
A relaxed structure of TmNp2S6. Source: Alexandria via LeMat-Bulk, functional PBE.

Calculated values
- Formation energy from raw total energies: -11.83 eV/f.u.
- E above lowest polymorph: 0 meV/atom
- Volume: 184 Å³ per cell

Cell lengths 7.108, 7.108, 4.211 Å; angles 90.00, 90.00, 120.00 degrees
Sites, in units of the cell vectors:
Tm: 0.000 0.000 0.000
Np: 0.333 0.667 0.214
Np: 0.667 0.333 0.786
S: 0.080 0.381 0.739
S: 0.301 0.920 0.739
S: 0.381 0.301 0.261
S: 0.619 0.699 0.739
S: 0.699 0.080 0.261
S: 0.920 0.619 0.261

5.
A relaxed structure of Tm5NpS6. Source: Alexandria via LeMat-Bulk, functional PBE.

Calculated values
- Formation energy from raw total energies: -22.08 eV/f.u.
- Volume: 243 Å³ per cell

Cell lengths 6.677, 6.677, 6.683 Å; angles 99.63, 99.63, 120.05 degrees
Sites, in units of the cell vectors:
Tm: 0.000 0.000 0.000
Tm: 0.168 0.832 0.500
Tm: 0.333 0.667 0.000
Tm: 0.667 0.333 0.000
Tm: 0.832 0.168 0.500
Np: 0.500 0.500 0.500
S: 0.078 0.415 0.247
S: 0.246 0.246 0.752
S: 0.415 0.078 0.247
S: 0.585 0.922 0.753
S: 0.754 0.754 0.248
S: 0.922 0.585 0.753

6.
A relaxed structure of Tm2Np3S8. Source: Alexandria via LeMat-Bulk, functional PBE.

Calculated values
- Formation energy from raw total energies: -19.48 eV/f.u.
- Volume: 340 Å³ per cell

Cell lengths 7.927, 7.927, 6.729 Å; angles 107.17, 107.17, 58.83 degrees
Sites, in units of the cell vectors:
Tm: 0.237 0.237 0.160
Tm: 0.763 0.763 0.840
Np: 0.240 0.760 0.500
Np: 0.500 0.500 0.000
Np: 0.760 0.240 0.500
S: 0.112 0.112 0.389
S: 0.136 0.608 0.089
S: 0.383 0.383 0.568
S: 0.392 0.864 0.911
S: 0.608 0.136 0.089
S: 0.617 0.617 0.432
S: 0.864 0.392 0.911
S: 0.888 0.888 0.611

7.
A relaxed structure of TmNp2S6. Source: Alexandria via LeMat-Bulk, functional PBE.

Calculated values
- Formation energy from raw total energies: -11.41 eV/f.u.
- E above lowest polymorph: 46 meV/atom
- Volume: 234 Å³ per cell

Cell lengths 7.143, 7.143, 8.688 Å; angles 124.65, 124.65, 41.76 degrees
Sites, in units of the cell vectors:
Tm: 0.000 0.000 0.000
Np: 0.183 0.183 0.609
Np: 0.817 0.817 0.391
S: 0.040 0.040 0.726
S: 0.255 0.255 0.373
S: 0.374 0.374 0.955
S: 0.626 0.626 0.045
S: 0.745 0.745 0.627
S: 0.960 0.960 0.274

8.
A relaxed structure of TmNpS2. Source: Alexandria via LeMat-Bulk, functional PBE.

Calculated values
- Formation energy from raw total energies: -6.67 eV/f.u.
- E above lowest polymorph: 0 meV/atom
- Volume: 82 Å³ per cell

Cell lengths 6.706, 6.706, 6.706 Å; angles 33.62, 33.62, 33.62 degrees
Sites, in units of the cell vectors:
Tm: 0.000 0.000 0.000
Np: 0.500 0.500 0.500
S: 0.252 0.252 0.252
S: 0.748 0.748 0.748

9.
A relaxed structure of TmNp5S6. Source: Alexandria via LeMat-Bulk, functional PBE.

Calculated values
- Formation energy from raw total energies: -17.40 eV/f.u.
- Volume: 249 Å³ per cell

Cell lengths 6.727, 6.727, 6.738 Å; angles 99.60, 99.60, 119.91 degrees
Sites, in units of the cell vectors:
Tm: 0.000 0.000 0.000
Np: 0.167 0.833 0.500
Np: 0.333 0.667 0.000
Np: 0.500 0.500 0.500
Np: 0.667 0.333 0.000
Np: 0.833 0.167 0.500
S: 0.083 0.413 0.246
S: 0.248 0.248 0.751
S: 0.413 0.083 0.246
S: 0.587 0.917 0.754
S: 0.752 0.752 0.249
S: 0.917 0.587 0.754

10.
A relaxed structure of Tm3NpS6. Source: Alexandria via LeMat-Bulk, functional PBE.

Calculated values
- Formation energy from raw total energies: -16.37 eV/f.u.
- E above lowest polymorph: 260 meV/atom
- Volume: 258 Å³ per cell

Cell lengths 8.154, 8.154, 4.132 Å; angles 90.00, 90.00, 110.22 degrees
Sites, in units of the cell vectors:
Tm: 0.000 0.000 0.000
Tm: 0.000 0.500 0.500
Tm: 0.500 0.000 0.500
Np: 0.500 0.500 0.000
S: 0.087 0.335 0.000
S: 0.335 0.087 0.000
S: 0.358 0.642 0.500
S: 0.642 0.358 0.500
S: 0.665 0.913 0.000
S: 0.913 0.665 0.000

Number 1: energy -7.17 eV/atom. Number 2: energy -6.89 eV/atom. Number 3: energy -7.48 eV/atom. Number 4: energy -7.44 eV/atom. Number 5: energy -6.85 eV/atom. Number 6: energy -7.71 eV/atom. Number 7: energy -7.39 eV/atom. Number 8: energy -8.08 eV/atom. Number 9: energy -9.28 eV/atom. Number 10: energy -6.75 eV/atom.